[1]
BaTe2Pt: optimized geometry, PBEsol.

The structure in POSCAR format:
```
BaTe2Pt
1.0
4.1985 0.0000 0.0000
0.0000 5.3385 0.0828
-2.0993 -0.0832 6.0821
Ba Te Pt
1 2 1
direct
0.5054 0.5000 0.0108 Ba
0.6975 0.9994 0.3950 Te
0.9661 0.0003 0.9322 Te
0.3310 0.0002 0.6620 Pt
```

Summary:
E_form (uncorrected): -3.5 eV per formula unit
Crystal system: monoclinic
E_tot: -4.918 eV per atom
Excess energy over the best structure of this formula in the dataset: 2.1 meV per atom
Calculated volume: 136 Å³/f.u.
Space-group type: Cm

[2]
BaTePt: optimized geometry, PBEsol.

The structure in POSCAR format:
```
BaTePt
1.0
4.6032 0.0000 0.0000
0.0000 4.6175 0.0000
0.0000 -2.3088 3.9989
Pt Ba Te
1 1 1
direct
0.5000 0.3333 0.6667 Pt
0.0000 0.0000 0.0000 Ba
0.5000 0.6667 0.3333 Te
```

Summary:
E_form (uncorrected): -3.3 eV per formula unit
Crystal system: hexagonal
E_tot: -5.310 eV per atom
Calculated volume: 85 Å³/f.u.
Space-group type: P-6m2

[3]
BaTi3Pt: optimized geometry, PBEsol.

The structure in POSCAR format:
```
BaTi3Pt
1.0
4.9301 0.0000 0.0000
0.0000 4.9301 0.0000
0.0000 0.0000 4.9301
Ba Pt Ti
1 1 3
direct
0.5000 0.5000 0.5000 Ba
0.0000 0.0000 0.0000 Pt
0.0000 0.5000 0.0000 Ti
0.5000 0.0000 0.0000 Ti
0.0000 0.0000 0.5000 Ti
```

Summary:
Crystal system: cubic
E_tot: -6.538 eV per atom
Calculated volume: 120 Å³/f.u.
Space-group type: Pm-3m

[4]
BaTl2Pt2: optimized geometry, PBEsol.

The structure in POSCAR format:
```
BaTl2Pt2
1.0
-0.5790 4.1547 2.6911
-1.1446 -2.7484 3.9969
5.8297 -0.8617 -2.0304
Tl Pt Ba
2 2 1
direct
0.6444 0.6444 0.2887 Tl
0.3556 0.3556 0.7113 Tl
0.2500 0.7500 0.5000 Pt
0.7500 0.2500 0.5000 Pt
0.0000 0.0000 0.0000 Ba
```

Summary:
Crystal system: tetragonal
E_tot: -4.577 eV per atom
Calculated volume: 128 Å³/f.u.
Space-group type: I4/mmm

[5]
Ba2TlPt: optimized geometry, PBEsol.

The structure in POSCAR format:
```
Ba2TlPt
1.0
3.9277 0.0000 0.0000
0.0000 3.9285 0.0166
0.0000 -0.0383 8.1975
Tl Pt Ba
1 1 2
direct
0.5000 0.5000 0.0000 Tl
0.5000 0.5000 0.5000 Pt
0.0000 0.0007 0.2823 Ba
0.0000 0.9993 0.7177 Ba
```

Summary:
Crystal system: tetragonal
E_tot: -3.939 eV per atom
Excess energy over the best structure of this formula in the dataset: 0.0 meV per atom
Calculated volume: 126 Å³/f.u.
Space-group type: P4/mmm

[6]
BaTlPt2: optimized geometry, PBEsol.

The structure in POSCAR format:
```
BaTlPt2
1.0
4.5153 0.0000 0.0000
-2.2576 3.9025 -0.0214
0.0000 -2.5711 5.9647
Pt Ba Tl
2 1 1
direct
0.2805 0.5611 0.8413 Pt
0.9480 0.8961 0.8451 Pt
0.7348 0.4696 0.2032 Ba
0.5366 0.0732 0.6104 Tl
```

Summary:
Crystal system: monoclinic
E_tot: -5.094 eV per atom
Calculated volume: 105 Å³/f.u.
Space-group type: Cm

[7]
Ba2TlPt: optimized geometry, PBEsol.

The structure in POSCAR format:
```
Ba2TlPt
1.0
4.3898 0.0000 0.0000
2.1949 3.8017 0.0000
2.1949 1.2672 8.8688
Tl Ba Pt
1 2 1
direct
0.5000 0.5000 0.5000 Tl
0.7336 0.7336 0.7992 Ba
0.2664 0.2664 0.2008 Ba
0.0000 0.0000 0.0000 Pt
```

Summary:
Crystal system: trigonal
E_tot: -3.883 eV per atom
Excess energy over the best structure of this formula in the dataset: 56.3 meV per atom
Calculated volume: 148 Å³/f.u.
Space-group type: R-3m

[8]
BaTl2Pt: optimized geometry, PBEsol.

The structure in POSCAR format:
```
BaTl2Pt
1.0
-1.1961 3.6247 -0.5685
-2.5407 -1.4526 -3.9155
-3.5519 -0.3137 5.4726
Ba Tl Pt
1 2 1
direct
0.0000 0.8878 0.7756 Ba
0.0000 0.1781 0.3563 Tl
0.5000 0.5831 0.1662 Tl
0.5000 0.3512 0.7024 Pt
```

Summary:
Crystal system: orthorhombic
E_tot: -3.911 eV per atom
Calculated volume: 114 Å³/f.u.
Space-group type: Amm2

[9]
Ba2TlPt: optimized geometry, PBEsol.

The structure in POSCAR format:
```
Ba2TlPt
1.0
4.6691 0.0000 0.0000
0.0000 4.8667 0.0000
-2.3345 0.0000 5.9577
Ba Pt Tl
2 1 1
direct
0.3932 0.5000 0.7864 Ba
0.1095 0.0000 0.2190 Ba
0.8105 0.0000 0.6209 Pt
0.6888 0.5000 0.3777 Tl
```

Summary:
Crystal system: orthorhombic
E_tot: -3.931 eV per atom
Excess energy over the best structure of this formula in the dataset: 7.8 meV per atom
Calculated volume: 135 Å³/f.u.
Space-group type: Amm2

[10]
BaTl2Pt: optimized geometry, PBEsol.

The structure in POSCAR format:
```
BaTl2Pt
1.0
-2.3605 -3.6079 2.1087
-0.5849 -4.1631 -2.3156
3.9481 -4.5180 2.1515
Tl Ba Pt
2 1 1
direct
0.7172 0.7172 0.8483 Tl
0.9575 0.9575 0.1275 Tl
0.5063 0.5063 0.4810 Ba
0.3189 0.3189 0.0432 Pt
```

Summary:
Crystal system: trigonal
E_tot: -3.960 eV per atom
Calculated volume: 115 Å³/f.u.
Space-group type: R3m

[11]
BaTl2Pt: optimized geometry, PBEsol.

The structure in POSCAR format:
```
BaTl2Pt
1.0
-2.3133 -1.1259 3.6991
4.4552 0.4719 2.9298
-2.7163 4.6030 -0.2977
Tl Ba Pt
2 1 1
direct
0.0000 0.1812 0.8188 Tl
0.0000 0.8188 0.1812 Tl
0.5000 0.5000 0.5000 Ba
0.5000 0.0000 0.0000 Pt
```

Summary:
Crystal system: orthorhombic
E_tot: -3.935 eV per atom
Calculated volume: 120 Å³/f.u.
Space-group type: Cmmm

[12]
BaTlPt: optimized geometry, PBEsol.

The structure in POSCAR format:
```
BaTlPt
1.0
4.4380 0.0000 0.0000
0.0000 4.7503 0.0000
0.0000 -2.3752 4.1139
Ba Pt Tl
1 1 1
direct
0.0006 0.0000 0.0000 Ba
0.4986 0.3333 0.6667 Pt
0.5007 0.6667 0.3333 Tl
```

Summary:
Crystal system: trigonal
E_tot: -4.375 eV per atom
Calculated volume: 87 Å³/f.u.
Space-group type: P3m1